Material: SrY2Si2
Method: DFT, PBE-GGA
State: optimized geometry

a b c (Å): 4.720 4.720 6.982
angles (deg): 70.24 70.24 90.00
Fractional coordinates of all 5 atoms:
Y  0.750  0.250  0.500
Y  0.250  0.750  0.500
Sr  0.000  0.000  0.000
Si  0.398  0.398  0.204
Si  0.602  0.602  0.796

Computed properties:
DOS(E_F)	0.53	states/eV per atom
raw total energy	-27.57	eV for the cell shown
formation energy without anion corrections	-0.422	eV/atom

---

Material: Sr2YSi
Method: DFT, PBE-GGA
State: optimized geometry

a b c (Å): 4.729 3.891 7.991
angles (deg): 61.63 90.00 90.00
Fractional coordinates of all 4 atoms:
Si  0.500  0.750  0.750
Sr  0.000  0.018  0.972
Sr  0.000  0.482  0.528
Y  0.500  0.250  0.250

Computed properties:
DOS(E_F)	0.69	states/eV per atom
raw total energy	-14.96	eV for the cell shown
formation energy without anion corrections	0.073	eV/atom

---

Material: Sr3YSi
Method: DFT, PBE-GGA
State: optimized geometry

a b c (Å): 6.073 6.073 6.073
angles (deg): 90.00 90.00 90.00
Fractional coordinates of all 5 atoms:
Y  0.500  0.500  0.500
Sr  0.000  0.500  0.000
Sr  0.000  0.000  0.500
Sr  0.500  0.000  0.000
Si  0.000  0.000  0.000

Computed properties:
DOS(E_F)	0.96	states/eV per atom
raw total energy	-15.98	eV for the cell shown
formation energy without anion corrections	0.191	eV/atom

---

Material: SrY2Si2
Method: DFT, PBE-GGA
State: optimized geometry

a b c (Å): 8.465 8.465 3.611
angles (deg): 90.00 90.00 90.00
Fractional coordinates of all 10 atoms:
Y  0.140  0.640  0.500
Y  0.640  0.860  0.500
Y  0.860  0.360  0.500
Y  0.360  0.140  0.500
Sr  0.000  0.000  0.000
Sr  0.500  0.500  0.000
Si  0.340  0.840  0.000
Si  0.840  0.660  0.000
Si  0.660  0.160  0.000
Si  0.160  0.340  0.000

Computed properties:
DOS(E_F)	0.61	states/eV per atom
raw total energy	-55.42	eV for the cell shown
formation energy without anion corrections	-0.451	eV/atom

---

Material: SrY3Si
Method: DFT, PBE-GGA
State: optimized geometry

a b c (Å): 5.606 5.606 5.606
angles (deg): 90.00 90.00 90.00
Fractional coordinates of all 5 atoms:
Y  0.000  0.500  0.000
Y  0.000  0.000  0.500
Y  0.500  0.000  0.000
Sr  0.500  0.500  0.500
Si  0.000  0.000  0.000

Computed properties:
DOS(E_F)	1.69	states/eV per atom
raw total energy	-26.95	eV for the cell shown
formation energy without anion corrections	-0.090	eV/atom

---

Material: Sr4YSi
Method: DFT, PBE-GGA
State: optimized geometry

a b c (Å): 7.050 7.050 7.050
angles (deg): 60.00 60.00 60.00
Fractional coordinates of all 6 atoms:
Sr  0.875  0.375  0.375
Sr  0.375  0.375  0.875
Sr  0.375  0.875  0.375
Sr  0.375  0.375  0.375
Y  0.750  0.750  0.750
Si  0.000  0.000  0.000

Computed properties:
DOS(E_F)	1.23	states/eV per atom
raw total energy	-14.65	eV for the cell shown
formation energy without anion corrections	0.660	eV/atom

---

Material: Sr2YSi
Method: DFT, PBE-GGA
State: optimized geometry

a b c (Å): 6.440 6.440 6.440
angles (deg): 136.96 136.96 62.50
Fractional coordinates of all 4 atoms:
Si  0.750  0.250  0.500
Sr  0.000  0.000  0.000
Sr  0.500  0.500  0.000
Y  0.250  0.750  0.500

Computed properties:
DOS(E_F)	1.02	states/eV per atom
raw total energy	-14.96	eV for the cell shown
formation energy without anion corrections	0.072	eV/atom

---

Material: Sr2YSi
Method: DFT, PBE-GGA
State: optimized geometry

a b c (Å): 6.171 6.171 6.171
angles (deg): 132.66 132.66 69.19
Fractional coordinates of all 4 atoms:
Si  0.750  0.250  0.500
Sr  0.000  0.000  0.000
Sr  0.250  0.750  0.500
Y  0.500  0.500  0.000

Computed properties:
DOS(E_F)	1.06	states/eV per atom
raw total energy	-14.74	eV for the cell shown
formation energy without anion corrections	0.128	eV/atom

---

Material: Sr2YSi
Method: DFT, PBE-GGA
State: optimized geometry

a b c (Å): 5.561 5.561 5.561
angles (deg): 60.00 60.00 60.00
Fractional coordinates of all 4 atoms:
Si  0.500  0.500  0.500
Sr  0.000  0.000  0.000
Sr  0.250  0.250  0.250
Y  0.750  0.750  0.750

Computed properties:
DOS(E_F)	0.84	states/eV per atom
raw total energy	-14.53	eV for the cell shown
formation energy without anion corrections	0.179	eV/atom

---

Material: Sr2YSi
Method: DFT, PBE-GGA
State: optimized geometry

a b c (Å): 7.307 7.307 7.307
angles (deg): 149.59 133.85 56.28
Fractional coordinates of all 4 atoms:
Si  0.263  0.763  0.500
Sr  0.061  0.061  0.000
Sr  0.748  0.248  0.500
Y  0.428  0.428  0.000

Computed properties:
DOS(E_F)	1.08	states/eV per atom
raw total energy	-15.74	eV for the cell shown
formation energy without anion corrections	-0.122	eV/atom

---

Material: SrY3Si
Method: DFT, PBE-GGA
State: optimized geometry

a b c (Å): 5.522 5.522 5.522
angles (deg): 90.00 90.00 90.00
Fractional coordinates of all 5 atoms:
Y  0.000  0.500  0.000
Y  0.000  0.000  0.500
Y  0.500  0.000  0.000
Sr  0.000  0.000  0.000
Si  0.500  0.500  0.500

Computed properties:
DOS(E_F)	1.33	states/eV per atom
raw total energy	-19.35	eV for the cell shown
formation energy without anion corrections	1.429	eV/atom

---

Material: Sr2YSi
Method: DFT, PBE-GGA
State: optimized geometry

a b c (Å): 9.347 9.347 9.347
angles (deg): 156.43 152.60 36.45
Fractional coordinates of all 4 atoms:
Si  0.250  0.750  0.500
Sr  0.090  0.090  0.000
Sr  0.410  0.410  0.000
Y  0.750  0.250  0.500

Computed properties:
DOS(E_F)	1.04	states/eV per atom
raw total energy	-15.90	eV for the cell shown
formation energy without anion corrections	-0.163	eV/atom